(1)
Entry from OQMD: a relaxed AsPd2Pt crystal (PBE).

Lattice parameters (Å, degrees): 6.3003 6.3003 6.3003 90.00 90.00 90.00
With the nearest neighbours (Å) after each atom.
Space group F-43m (No. 216)
Asymmetric unit:
As: 0.0000 0.0000 0.0000  4 Pd 2.73, 4 Pt 2.73
Pd: 0.0000 0.0000 0.5000  4 Pt 2.73, 4 Pd 2.73
Pd: 0.2500 0.2500 0.7500  4 As 2.73, 4 Pd 2.73
Pt: 0.2500 0.2500 0.2500  4 As 2.73, 4 Pd 2.73

Values from the calculation:
- Final energy: -0.1987 hartree per atom

---

(2)
Entry from OQMD: a relaxed HoTaAu crystal (PBE).

Lattice parameters (Å, degrees): 6.6804 6.6804 6.6804 90.00 90.00 90.00
With the nearest neighbours (Å) after each atom.
Space group F-43m (No. 216)
Asymmetric unit:
Ho: 0.0000 0.0000 0.0000  4 Ta 2.89, 4 Au 2.89
Ta: 0.2500 0.2500 0.2500  4 Ho 2.89
Au: 0.2500 0.2500 0.7500  4 Ho 2.89

Values from the calculation:
- Energy of formation: 1.016 eV/atom